Record 1
# K2Na5Tl2

K2Na5Tl2 after structural relaxation (GGA-PBE, the Alexandria database).

Cell: 3.7401 10.8125 13.7030 Å, 136.80 90.00 99.96°
Last column: nearest neighbours and their distance in Å.
Positions (direct):
Na  0.8730  0.7461  0.6019  3 Tl 3.23-3.38
Na  0.0000  0.0000  0.0000  4 Tl 3.25, 4 Na 3.44
Na  0.1270  0.2539  0.3981  3 Tl 3.23-3.38
Na  0.4052  0.8104  0.0766  6 Na 3.44-3.80, 1 Tl 3.50
Na  0.5948  0.1896  0.9234  6 Na 3.44-3.80, 1 Tl 3.50
K  0.8581  0.7163  0.2844  1 Tl 3.58, 2 K 3.74, 1 Na 3.85
K  0.1419  0.2837  0.7156  1 Tl 3.58, 2 K 3.74, 1 Na 3.85
Tl  0.6781  0.3562  0.2589  6 Na 3.23-3.50, 1 K 3.58
Tl  0.3219  0.6438  0.7411  6 Na 3.23-3.50, 1 K 3.58

Computed properties:
- energy above the most stable polymorph in this dataset (meV/atom) = 36.9
- E_tot (eV/cell) = -13.3
- total magnetization (μB/f.u.) = 0.00
- formation enthalpy at 0 K (kJ per mole of atoms) = 2

Record 2
# BaH3Pd

BaH3Pd after structural relaxation (GGA-PBE, the Alexandria database).

Cell: 4.7324 4.7324 4.7324 Å, 90.00 90.00 90.00°
Last column: nearest neighbours and their distance in Å.
Positions (direct):
H  0.0000  0.0000  0.5000  2 Ba 2.37
H  0.5000  0.0000  0.0000  2 Ba 2.37
H  0.0000  0.5000  0.0000  2 Ba 2.37
Pd  0.5000  0.5000  0.5000  12 H 3.35
Ba  0.0000  0.0000  0.0000  6 H 2.37

Computed properties:
- E_tot (eV/cell) = -13.3
- total magnetization (μB/f.u.) = 0.63